Entry from the Alexandria database: a relaxed Mn2ZnCr crystal (PBE).

## Properties
The total energy comes out at -108.5 eV per cell.

Lattice parameters (Å, degrees): 6.553 6.553 5.138 90.00 90.00 90.00
Space group I-42d (No. 122)
Symmetry-distinct sites (fractional):
Mn (0.217, 0.250, 0.125) (multiplicity 8)
Zn (0.000, 0.000, 0.500) (multiplicity 4)
Cr (0.000, 0.000, 0.000) (multiplicity 4)



Entry from the Alexandria database: a relaxed MnZnCr3 crystal (PBE).

## Properties
The total energy comes out at -29.8 eV per cell.

Lattice parameters (Å, degrees): 4.583 4.583 4.583 90.00 90.00 90.00
Space group Pm-3m (No. 221)
Symmetry-distinct sites (fractional):
Mn (0.000, 0.000, 0.000) (multiplicity 1)
Zn (0.500, 0.500, 0.500) (multiplicity 1)
Cr (0.000, 0.500, 0.500) (multiplicity 3)



Entry from the Alexandria database: a relaxed MnZnCr2 crystal (PBE).

## Properties
The total energy comes out at -28.7 eV per cell.

Lattice parameters (Å, degrees): 3.520 3.520 3.935 90.00 90.00 90.00
Space group P4/mmm (No. 123)
Symmetry-distinct sites (fractional):
Mn (0.000, 0.000, 0.000) (multiplicity 1)
Zn (0.500, 0.500, 0.000) (multiplicity 1)
Cr (0.000, 0.500, 0.500) (multiplicity 2)



Entry from the Alexandria database: a relaxed Mn2ZnCr crystal (PBE).

## Properties
The total energy comes out at -28.6 eV per cell.

Lattice parameters (Å, degrees): 2.494 3.982 4.908 90.00 100.07 90.00
Space group P2/m (No. 10)
Symmetry-distinct sites (fractional):
Mn (0.204, 0.000, 0.261) (multiplicity 2)
Zn (0.500, 0.500, 0.000) (multiplicity 1)
Cr (0.000, 0.500, 0.500) (multiplicity 1)



Entry from the Alexandria database: a relaxed Mn2ZnCr crystal (PBE).

## Properties
The total energy comes out at -28.6 eV per cell.

Lattice parameters (Å, degrees): 2.495 3.976 5.007 90.00 104.05 90.00
Space group Pm (No. 6)
Symmetry-distinct sites (fractional):
Mn (0.000, 0.000, 0.000) (multiplicity 1)
Mn (0.443, 0.500, 0.739) (multiplicity 1)
Zn (0.526, 0.500, 0.249) (multiplicity 1)
Cr (0.049, 0.000, 0.521) (multiplicity 1)



Entry from the Alexandria database: a relaxed MnZnCr crystal (PBE).

## Properties
The total energy comes out at -77.0 eV per cell.

Lattice parameters (Å, degrees): 8.567 2.470 6.980 90.00 91.44 90.00
Space group C2/m (No. 12)
Symmetry-distinct sites (fractional):
Mn (0.135, 0.000, 0.420) (multiplicity 4)
Zn (0.101, 0.500, 0.745) (multiplicity 4)
Cr (0.129, 0.000, 0.084) (multiplicity 4)



Entry from the Alexandria database: a relaxed Mn2ZnCr crystal (PBE).

## Properties
The total energy comes out at -85.6 eV per cell.

Lattice parameters (Å, degrees): 2.5277 2.5277 25.4747 90.00 90.00 120.00
Space group R3m (No. 160, hexagonal axes)
Symmetry-distinct sites (fractional):
Mn (0.0000, 0.0000, 0.0000) (multiplicity 3)
Mn (0.0000, 0.0000, 0.2587) (multiplicity 3)
Zn (0.0000, 0.0000, 0.7541) (multiplicity 3)
Cr (0.0000, 0.0000, 0.5101) (multiplicity 3)



Entry from the Alexandria database: a relaxed MnZnCr2 crystal (PBE).

## Properties
The total energy comes out at -58.1 eV per cell.

Lattice parameters (Å, degrees): 2.903 4.003 8.273 90.00 90.00 90.00
Space group Cmmm (No. 65)
Symmetry-distinct sites (fractional):
Mn (0.000, 0.000, 0.000) (multiplicity 2)
Zn (0.000, 0.000, 0.500) (multiplicity 2)
Cr (0.000, 0.500, 0.235) (multiplicity 4)



Entry from the Alexandria database: a relaxed MnZnCr2 crystal (PBE).

## Properties
The total energy comes out at -28.9 eV per cell.

Lattice parameters (Å, degrees): 2.441 4.033 4.895 90.00 100.41 90.00
Space group Pm (No. 6)
Symmetry-distinct sites (fractional):
Mn (0.000, 0.000, 0.000) (multiplicity 1)
Zn (0.738, 0.500, 0.256) (multiplicity 1)
Cr (0.210, 0.500, 0.761) (multiplicity 1)
Cr (0.429, 0.000, 0.506) (multiplicity 1)



Entry from the Alexandria database: a relaxed Mn2ZnCr2 crystal (PBE).

## Properties
The total energy comes out at -75.1 eV per cell.

Lattice parameters (Å, degrees): 6.938 6.938 2.707 90.00 90.00 90.00
Space group P4/mbm (No. 127)
Symmetry-distinct sites (fractional):
Mn (0.154, 0.346, 0.000) (multiplicity 4)
Zn (0.000, 0.000, 0.500) (multiplicity 2)
Cr (0.143, 0.643, 0.500) (multiplicity 4)



Entry from the Alexandria database: a relaxed Mn2ZnCr crystal (PBE).

## Properties
The total energy comes out at -57.1 eV per cell.

Lattice parameters (Å, degrees): 2.922 3.969 8.169 90.00 90.00 90.00
Space group Cmm2 (No. 35)
Symmetry-distinct sites (fractional):
Mn (0.000, 0.000, 0.000) (multiplicity 2)
Mn (0.000, 0.500, 0.231) (multiplicity 2)
Zn (0.000, 0.500, 0.738) (multiplicity 2)
Cr (0.000, 0.000, 0.470) (multiplicity 2)



Entry from the Alexandria database: a relaxed Mn3ZnCr crystal (PBE).

## Properties
The total energy comes out at -33.6 eV per cell.

Lattice parameters (Å, degrees): 4.305 4.305 4.305 90.00 90.00 90.00
Space group Pm-3m (No. 221)
Symmetry-distinct sites (fractional):
Mn (0.000, 0.000, 0.500) (multiplicity 3)
Zn (0.500, 0.500, 0.500) (multiplicity 1)
Cr (0.000, 0.000, 0.000) (multiplicity 1)